# 1
# Eu3SiH

An optimized crystal structure of Eu3SiH (PBE, Alexandria).

The density of states at the Fermi level is 3.11 states/eV/f.u. For the calculated total energy, the calculation gives -41.29 eV per formula unit.

The space group is Pm-3m (No. 221) and the conventional cell measures 4.884, 4.884 and 4.884 Å, with angles of 90.00, 90.00 and 90.00 degrees. The asymmetric unit holds Eu at (0.000, 0.000, 0.500), Si at (0.500, 0.500, 0.500) and H at (0.000, 0.000, 0.000).

***

# 2
# AcPm2Mg

An optimized crystal structure of AcPm2Mg (PBE, Alexandria).

The value obtained for the distance to the lowest polymorph of the same formula is 131 meV/atom. The density of states at the Fermi level is 5.98 states/eV/f.u. The formation energy comes out at 0.098 eV/atom.

The space group is Fm-3m (No. 225) and the conventional cell measures 8.181, 8.181 and 8.181 Å, with angles of 90.00, 90.00 and 90.00 degrees. The asymmetric unit holds Ac at (0.000, 0.000, 0.000), Pm at (0.250, 0.250, 0.250) and Mg at (0.000, 0.000, 0.500).

***

# 3
# LiTm6Ni2

An optimized crystal structure of LiTm6Ni2 (PBE, Alexandria).

The density of states at the Fermi level is 11.45 states/eV/f.u. The formation energy comes out at -0.215 eV/atom.

The space group is Immm (No. 71) and the conventional cell measures 9.219, 9.375 and 9.955 Å, with angles of 90.00, 90.00 and 90.00 degrees. The asymmetric unit holds Li at (0.000, 0.000, 0.000), Li at (0.000, 0.000, 0.500), Tm at (0.000, 0.197, 0.233), Tm at (0.191, 0.500, 0.180), Tm at (0.214, 0.318, 0.500), Ni at (0.000, 0.345, 0.000) and Ni at (0.000, 0.500, 0.380).

***

# 4
# Pr2GaGe

An optimized crystal structure of Pr2GaGe (PBE, Alexandria).

The density of states at the Fermi level is 2.43 states/eV/f.u. The formation energy comes out at -0.621 eV/atom.

The space group is Fmmm (No. 69) and the conventional cell measures 8.370, 9.715 and 9.811 Å, with angles of 90.00, 90.00 and 90.00 degrees. The asymmetric unit holds Pr at (0.199, 0.000, 0.000), Pr at (0.250, 0.250, 0.250), Ga at (0.000, 0.205, 0.500) and Ge at (0.000, 0.000, 0.296).

***

# 5
# Sm4Ho7Er

An optimized crystal structure of Sm4Ho7Er (PBE, Alexandria).

The density of states at the Fermi level is 19.05 states/eV/f.u. The formation energy comes out at 0.089 eV/atom.

The space group is P-1 (No. 2) and the conventional cell measures 6.513, 6.794 and 9.050 Å, with angles of 85.29, 77.06 and 81.87 degrees. The asymmetric unit holds Sm at (0.139, 0.309, 0.284), Sm at (0.338, 0.883, 0.693), Ho at (0.012, 0.253, 0.949), Ho at (0.183, 0.800, 0.359), Ho at (0.311, 0.394, 0.615), Ho at (0.500, 0.000, 0.000) and Er at (0.500, 0.500, 0.000).

***

# 6
# TiGa3Co

An optimized crystal structure of TiGa3Co (PBE, Alexandria).

The value obtained for the distance to the lowest polymorph of the same formula is 426 meV/atom. The density of states at the Fermi level is 5.36 states/eV/f.u. The formation energy comes out at 0.145 eV/atom.

The space group is Pm-3m (No. 221) and the conventional cell measures 4.427, 4.427 and 4.427 Å, with angles of 90.00, 90.00 and 90.00 degrees. The asymmetric unit holds Ti at (0.000, 0.000, 0.000), Ga at (0.000, 0.500, 0.500) and Co at (0.500, 0.500, 0.500).

***

# 7
# KAsPdRh

An optimized crystal structure of KAsPdRh (PBE, Alexandria).

The density of states at the Fermi level is 1.61 states/eV/f.u. The formation energy comes out at -0.301 eV/atom.

The space group is P4/nmm (No. 129, origin choice 2) and the conventional cell measures 3.930, 3.930 and 12.294 Å, with angles of 90.00, 90.00 and 90.00 degrees. The asymmetric unit holds K at (0.250, 0.250, 0.216), As at (0.250, 0.250, 0.617), Pd at (0.250, 0.750, 0.000) and Rh at (0.250, 0.750, 0.500).

***

# 8
# NaCo2PdN

An optimized crystal structure of NaCo2PdN (PBE, Alexandria).

The density of states at the Fermi level is 7.16 states/eV/f.u. As for the uncorrected formation energy: 0.9 eV per formula unit.

The space group is P4/mmm (No. 123) and the conventional cell measures 3.763, 3.763 and 4.450 Å, with angles of 90.00, 90.00 and 90.00 degrees. The asymmetric unit holds Na at (0.000, 0.000, 0.000), Co at (0.000, 0.500, 0.500), Pd at (0.500, 0.500, 0.000) and N at (0.500, 0.500, 0.500).

***

# 9
# Pr9ErPb2

An optimized crystal structure of Pr9ErPb2 (PBE, Alexandria).

The density of states at the Fermi level is 12.77 states/eV/f.u. The formation energy comes out at -0.212 eV/atom.

The space group is P4/mmm (No. 123) and the conventional cell measures 5.053, 5.053 and 15.526 Å, with angles of 90.00, 90.00 and 90.00 degrees. The asymmetric unit holds Pr at (0.000, 0.000, 0.000), Pr at (0.000, 0.000, 0.337), Pr at (0.000, 0.500, 0.172), Pr at (0.000, 0.500, 0.500), Er at (0.500, 0.500, 0.000) and Pb at (0.500, 0.500, 0.337).

***

# 10
# PrGaCuNi

An optimized crystal structure of PrGaCuNi (PBE, Alexandria).

The density of states at the Fermi level is 3.20 states/eV/f.u. The formation energy comes out at -0.398 eV/atom.

The space group is R3m (No. 160, hexagonal axes) and the conventional cell measures 4.2378, 4.2378 and 14.4871 Å, with angles of 90.00, 90.00 and 120.00 degrees. The asymmetric unit holds Pr at (0.0000, 0.0000, 0.0000), Ga at (0.0000, 0.0000, 0.4871), Cu at (0.0000, 0.0000, 0.1998) and Ni at (0.0000, 0.0000, 0.8039).

***

# 11
# TbNdSb

An optimized crystal structure of TbNdSb (PBE, Alexandria).

The density of states at the Fermi level is 4.17 states/eV/f.u. As for the uncorrected formation energy: -2.1 eV per formula unit.

The space group is C2/m (No. 12) and the conventional cell measures 11.929, 4.227 and 8.567 Å, with angles of 90.00, 120.06 and 90.00 degrees. The asymmetric unit holds Tb at (0.157, 0.000, 0.054), Nd at (0.073, 0.500, 0.346) and Sb at (0.155, 0.000, 0.680).

***

# 12
# Cu2P

An optimized crystal structure of Cu2P (PBE, Alexandria).

The density of states at the Fermi level is 1.31 states/eV/f.u. The formation energy comes out at 0.173 eV/atom.

The space group is Cmcm (No. 63) and the conventional cell measures 2.631, 12.714 and 4.625 Å, with angles of 90.00, 90.00 and 90.00 degrees. The asymmetric unit holds Cu at (0.000, 0.043, 0.250), Cu at (0.000, 0.367, 0.250) and P at (0.000, 0.302, 0.750).

***

# 13
# YThScAl

An optimized crystal structure of YThScAl (PBE, Alexandria).

The density of states at the Fermi level is 6.83 states/eV/f.u. The formation energy comes out at -0.078 eV/atom.

The space group is F-43m (No. 216) and the conventional cell measures 7.474, 7.474 and 7.474 Å, with angles of 90.00, 90.00 and 90.00 degrees. The asymmetric unit holds Y at (0.000, 0.000, 0.000), Th at (0.000, 0.000, 0.500), Sc at (0.250, 0.250, 0.250) and Al at (0.250, 0.250, 0.750).

***

# 14
# Li2ZnGa9

An optimized crystal structure of Li2ZnGa9 (PBE, Alexandria).

The density of states at the Fermi level is 5.00 states/eV/f.u. The formation energy comes out at -0.099 eV/atom.

The space group is P4/mmm (No. 123) and the conventional cell measures 4.048, 4.048 and 12.715 Å, with angles of 90.00, 90.00 and 90.00 degrees. The asymmetric unit holds Li at (0.000, 0.000, 0.161), Zn at (0.000, 0.000, 0.500), Ga at (0.000, 0.500, 0.000), Ga at (0.000, 0.500, 0.329), Ga at (0.500, 0.500, 0.163) and Ga at (0.500, 0.500, 0.500).

***

# 15
# TbPrY2Se6

An optimized crystal structure of TbPrY2Se6 (PBE, Alexandria).

The density of states at the Fermi level is 0.00 states/eV/f.u. As for the uncorrected formation energy: -18.5 eV per formula unit.

The space group is R3 (No. 146, hexagonal axes) and the conventional cell measures 7.3092, 7.3092 and 19.5597 Å, with angles of 90.00, 90.00 and 120.00 degrees. The asymmetric unit holds Tb at (0.0000, 0.0000, 0.0000), Pr at (0.0000, 0.0000, 0.5053), Y at (0.0000, 0.0000, 0.3052), Y at (0.0000, 0.0000, 0.8019), Se at (0.0043, 0.3092, 0.3998) and Se at (0.0204, 0.7127, 0.9003).

***

# 16
# LiGdYCd

An optimized crystal structure of LiGdYCd (PBE, Alexandria).

The density of states at the Fermi level is 4.54 states/eV/f.u. The formation energy comes out at -0.143 eV/atom.

The space group is F-43m (No. 216) and the conventional cell measures 7.480, 7.480 and 7.480 Å, with angles of 90.00, 90.00 and 90.00 degrees. The asymmetric unit holds Li at (0.000, 0.000, 0.000), Gd at (0.250, 0.250, 0.250), Y at (0.250, 0.250, 0.750) and Cd at (0.000, 0.000, 0.500).

***

# 17
# AcH2Au

An optimized crystal structure of AcH2Au (PBE, Alexandria).

The value obtained for the distance to the lowest polymorph of the same formula is 32 meV/atom. The density of states at the Fermi level is 0.50 states/eV/f.u.

The space group is Fm-3m (No. 225) and the conventional cell measures 6.393, 6.393 and 6.393 Å, with angles of 90.00, 90.00 and 90.00 degrees. The asymmetric unit holds Ac at (0.000, 0.000, 0.000), H at (0.250, 0.250, 0.250) and Au at (0.000, 0.000, 0.500).

***

# 18
# CaCr2Re

An optimized crystal structure of CaCr2Re (PBE, Alexandria).

The value obtained for the distance to the lowest polymorph of the same formula is 228 meV/atom. The density of states at the Fermi level is 4.36 states/eV/f.u. The formation energy comes out at 0.712 eV/atom.

The space group is Imm2 (No. 44) and the conventional cell measures 2.904, 4.784 and 9.349 Å, with angles of 90.00, 90.00 and 90.00 degrees. The asymmetric unit holds Ca at (0.000, 0.000, 0.000), Cr at (0.000, 0.000, 0.488), Cr at (0.000, 0.500, 0.779) and Re at (0.000, 0.500, 0.219).

***

# 19
# CeScPa

An optimized crystal structure of CeScPa (PBE, Alexandria).

The value obtained for the distance to the lowest polymorph of the same formula is 63 meV/atom. The density of states at the Fermi level is 7.77 states/eV/f.u. The formation energy comes out at 0.118 eV/atom.

The space group is P-6m2 (No. 187) and the conventional cell measures 5.2367, 5.2367 and 3.1638 Å, with angles of 90.00, 90.00 and 120.00 degrees. The asymmetric unit holds Ce at (0.0000, 0.0000, 0.0000), Sc at (0.6667, 0.3333, 0.5000) and Pa at (0.3333, 0.6667, 0.0000).

***

# 20
# KTaRh2

An optimized crystal structure of KTaRh2 (PBE, Alexandria).

The value obtained for the distance to the lowest polymorph of the same formula is 446 meV/atom. The density of states at the Fermi level is 3.24 states/eV/f.u. The formation energy comes out at 0.541 eV/atom.

The space group is P4/mmm (No. 123) and the conventional cell measures 4.893, 4.893 and 2.989 Å, with angles of 90.00, 90.00 and 90.00 degrees. The asymmetric unit holds K at (0.000, 0.000, 0.000), Ta at (0.500, 0.500, 0.000) and Rh at (0.000, 0.500, 0.500).